Below is a geometry-optimized La2PmNd6Tm structure, with properties calculated at the PBE level.

The value obtained for the raw total energy is -186.36 eV per cell. Its total moment is 0.0 μB per cell. The calculation puts the calculated density at 6.87 g/cm3. Its calculated volume is 35.23 A^3/atom.

Geometry as CIF:
```
data_La2PmNd6Tm
_chemical_formula_sum 'La8 Pm4 Nd24 Tm4'
_space_group_name_H-M_alt 'C 1 2/c 1'
_space_group_IT_number 15
_space_group_name_Hall '-C 2yc'
_cell_length_a 9.2433
_cell_length_b 15.3235
_cell_length_c 10.0986
_cell_angle_alpha 90.00
_cell_angle_beta 99.84
_cell_angle_gamma 90.00
loop_
_atom_site_label
_atom_site_type_symbol
_atom_site_fract_x
_atom_site_fract_y
_atom_site_fract_z
La1 La 0.2435 0.0482 0.0415
Pm1 Pm 0.0000 0.0127 0.7500
Nd1 Nd 0.0692 0.1900 0.4447
Nd2 Nd 0.0992 0.3970 0.6200
Nd3 Nd 0.2032 0.2190 0.8106
Tm1 Tm 0.0000 0.4059 0.2500
```

Below is a geometry-optimized InIrW2 structure, with properties calculated at the PBE level.

The value obtained for the raw total energy is -36.90 eV per cell. Its total moment is 0.0 μB per cell. The calculation puts the calculated density at 16.60 g/cm3. Its calculated volume is 16.87 A^3/atom.

Geometry as CIF:
```
data_InIrW2
_chemical_formula_sum 'In1 Ir1 W2'
_space_group_name_H-M_alt 'P 4 m m'
_space_group_IT_number 99
_space_group_name_Hall 'P 4 -2'
_cell_length_a 2.8523
_cell_length_b 2.8523
_cell_length_c 8.2951
_cell_angle_alpha 90.00
_cell_angle_beta 90.00
_cell_angle_gamma 90.00
loop_
_atom_site_label
_atom_site_type_symbol
_atom_site_fract_x
_atom_site_fract_y
_atom_site_fract_z
In1 In 0.0000 0.0000 0.0000
Ir1 Ir 0.5000 0.5000 0.2580
W1 W 0.0000 0.0000 0.4697
W2 W 0.5000 0.5000 0.7266
```

Below is a geometry-optimized Ho5Tm2Sc3 structure, with properties calculated at the PBE level.

The value obtained for the raw total energy is -195.52 eV per cell. Its total moment is 0.0 μB per cell. The calculation puts the calculated density at 7.19 g/cm3. Its calculated volume is 29.96 A^3/atom.

Geometry as CIF:
```
data_Ho5Tm2Sc3
_chemical_formula_sum 'Ho20 Tm8 Sc12'
_space_group_name_H-M_alt 'C 1 2/c 1'
_space_group_IT_number 15
_space_group_name_Hall '-C 2yc'
_cell_length_a 10.4257
_cell_length_b 15.4147
_cell_length_c 9.0882
_cell_angle_alpha 90.00
_cell_angle_beta 124.86
_cell_angle_gamma 90.00
loop_
_atom_site_label
_atom_site_type_symbol
_atom_site_fract_x
_atom_site_fract_y
_atom_site_fract_z
Ho1 Ho 0.0000 0.0178 0.2500
Ho2 Ho 0.0000 0.2823 0.7500
Ho3 Ho 0.0000 0.4814 0.7500
Ho4 Ho 0.2461 0.3557 0.2397
Tm1 Tm 0.1536 0.3644 0.5475
Sc1 Sc 0.0000 0.2166 0.2500
Sc2 Sc 0.1437 0.1348 0.0478
```

Below is a geometry-optimized LiNp4Pa3N8 structure, with properties calculated at the PBE level.

The value obtained for the raw total energy is -504.49 eV per cell. Its total moment is 42.4 μB per cell. The calculation puts the calculated density at 12.55 g/cm3. For the raw formation energy, the calculation gives -19.397 eV per formula unit. Its calculated volume is 14.55 A^3/atom.

Geometry as CIF:
```
data_LiNp4Pa3N8
_chemical_formula_sum 'Li3 Np12 Pa9 N24'
_space_group_name_H-M_alt 'R -3 m'
_space_group_IT_number 166
_space_group_name_Hall '-R 3 2"'
_cell_length_a 6.8885
_cell_length_b 6.8885
_cell_length_c 16.9990
_cell_angle_alpha 90.00
_cell_angle_beta 90.00
_cell_angle_gamma 120.00
loop_
_atom_site_label
_atom_site_type_symbol
_atom_site_fract_x
_atom_site_fract_y
_atom_site_fract_z
Li1 Li 0.0000 0.0000 0.0000
Np1 Np 0.0000 0.0000 0.5000
Np2 Np 0.0000 0.5000 0.5000
Pa1 Pa 0.0000 0.5000 0.0000
N1 N 0.0000 0.0000 0.2502
N2 N 0.0072 0.5036 0.2490
```

Below is a geometry-optimized LiCdRu2 structure, with properties calculated at the PBE level.

The value obtained for the raw total energy is -41.31 eV per cell. Its total moment is 0.0 μB per cell. The calculation puts the calculated density at 8.71 g/cm3. Its calculated volume is 15.32 A^3/atom.

Geometry as CIF:
```
data_LiCdRu2
_chemical_formula_sum 'Li2 Cd2 Ru4'
_space_group_name_H-M_alt 'C 1 m 1'
_space_group_IT_number 8
_space_group_name_Hall 'C -2y'
_cell_length_a 8.7303
_cell_length_b 2.7919
_cell_length_c 5.0647
_cell_angle_alpha 90.00
_cell_angle_beta 96.88
_cell_angle_gamma 90.00
loop_
_atom_site_label
_atom_site_type_symbol
_atom_site_fract_x
_atom_site_fract_y
_atom_site_fract_z
Li1 Li 0.0000 0.0000 0.0000
Cd1 Cd 0.2543 0.5000 0.2104
Ru1 Ru 0.0016 0.5000 0.5426
Ru2 Ru 0.2431 0.0000 0.7067
```

Below is a geometry-optimized Be5ZnNi6 structure, with properties calculated at the PBE level.

The value obtained for the raw total energy is -118.44 eV per cell. Its total moment is 0.0 μB per cell. The calculation puts the calculated density at 6.73 g/cm3. Its calculated volume is 9.51 A^3/atom.

Geometry as CIF:
```
data_Be5ZnNi6
_chemical_formula_sum 'Be10 Zn2 Ni12'
_space_group_name_H-M_alt 'I m m m'
_space_group_IT_number 71
_space_group_name_Hall '-I 2 2'
_cell_length_a 3.6915
_cell_length_b 5.5907
_cell_length_c 11.0579
_cell_angle_alpha 90.00
_cell_angle_beta 90.00
_cell_angle_gamma 90.00
loop_
_atom_site_label
_atom_site_type_symbol
_atom_site_fract_x
_atom_site_fract_y
_atom_site_fract_z
Be1 Be 0.0000 0.0000 0.0000
Be2 Be 0.0000 0.0000 0.3354
Be3 Be 0.0000 0.5000 0.3292
Zn1 Zn 0.0000 0.5000 0.0000
Ni1 Ni 0.0000 0.2383 0.1714
Ni2 Ni 0.0000 0.2720 0.5000
```

Below is a geometry-optimized Cs2PrHg2O4 structure, with properties calculated at the PBE level.

The value obtained for the raw total energy is -77.87 eV per cell. Its total moment is 0.0 μB per cell. The calculation puts the calculated density at 6.90 g/cm3. For the raw formation energy, the calculation gives -12.011 eV per formula unit. Its calculated volume is 23.31 A^3/atom.

Geometry as CIF:
```
data_Cs2PrHg2O4
_chemical_formula_sum 'Cs4 Pr2 Hg4 O8'
_space_group_name_H-M_alt 'C 1 2/m 1'
_space_group_IT_number 12
_space_group_name_Hall '-C 2y'
_cell_length_a 15.7907
_cell_length_b 3.7072
_cell_length_c 7.3371
_cell_angle_alpha 90.00
_cell_angle_beta 102.36
_cell_angle_gamma 90.00
loop_
_atom_site_label
_atom_site_type_symbol
_atom_site_fract_x
_atom_site_fract_y
_atom_site_fract_z
Cs1 Cs 0.1241 0.0000 0.0673
Pr1 Pr 0.0000 0.0000 0.5000
Hg1 Hg 0.1873 0.5000 0.5438
O1 O 0.0474 0.5000 0.3272
O2 O 0.1498 0.0000 0.6955
```

Below is a geometry-optimized Zn2GaTc structure, with properties calculated at the PBE level.

The value obtained for the raw total energy is -59.71 eV per cell. Its total moment is 0.0 μB per cell. The calculation puts the calculated density at 7.89 g/cm3. Its calculated volume is 15.71 A^3/atom.

Geometry as CIF:
```
data_Zn2GaTc
_chemical_formula_sum 'Zn8 Ga4 Tc4'
_space_group_name_H-M_alt 'I -4 2 d'
_space_group_IT_number 122
_space_group_name_Hall 'I -4 2bw'
_cell_length_a 7.0075
_cell_length_b 7.0075
_cell_length_c 5.1195
_cell_angle_alpha 90.00
_cell_angle_beta 90.00
_cell_angle_gamma 90.00
loop_
_atom_site_label
_atom_site_type_symbol
_atom_site_fract_x
_atom_site_fract_y
_atom_site_fract_z
Zn1 Zn 0.2440 0.2500 0.1250
Ga1 Ga 0.0000 0.0000 0.0000
Tc1 Tc 0.0000 0.0000 0.5000
```

Below is a geometry-optimized RbScZnNi2 structure, with properties calculated at the PBE level.

The value obtained for the raw total energy is -15.11 eV per cell. Its total moment is 0.0 μB per cell. The calculation puts the calculated density at 4.57 g/cm3. Its calculated volume is 22.77 A^3/atom.

Geometry as CIF:
```
data_RbScZnNi2
_chemical_formula_sum 'Rb1 Sc1 Zn1 Ni2'
_space_group_name_H-M_alt 'P 4/m m m'
_space_group_IT_number 123
_space_group_name_Hall '-P 4 2'
_cell_length_a 4.6591
_cell_length_b 4.6591
_cell_length_c 5.2457
_cell_angle_alpha 90.00
_cell_angle_beta 90.00
_cell_angle_gamma 90.00
loop_
_atom_site_label
_atom_site_type_symbol
_atom_site_fract_x
_atom_site_fract_y
_atom_site_fract_z
Rb1 Rb 0.0000 0.0000 0.0000
Sc1 Sc 0.5000 0.5000 0.0000
Zn1 Zn 0.0000 0.0000 0.5000
Ni1 Ni 0.0000 0.5000 0.5000
```

Below is a geometry-optimized K2TcSF5 structure, with properties calculated at the PBE level.

The value obtained for the raw total energy is -90.08 eV per cell. Its total moment is 4.0 μB per cell. The calculation puts the calculated density at 2.94 g/cm3. For the raw formation energy, the calculation gives -18.993 eV per formula unit. Its calculated volume is 19.04 A^3/atom.

Geometry as CIF:
```
data_K2TcSF5
_chemical_formula_sum 'K4 Tc2 S2 F10'
_space_group_name_H-M_alt 'I 4 m m'
_space_group_IT_number 107
_space_group_name_Hall 'I 4 -2'
_cell_length_a 6.4576
_cell_length_b 6.4576
_cell_length_c 8.2195
_cell_angle_alpha 90.00
_cell_angle_beta 90.00
_cell_angle_gamma 90.00
loop_
_atom_site_label
_atom_site_type_symbol
_atom_site_fract_x
_atom_site_fract_y
_atom_site_fract_z
K1 K 0.0000 0.5000 0.0000
Tc1 Tc 0.0000 0.0000 0.2213
S1 S 0.0000 0.0000 0.9574
F1 F 0.0000 0.0000 0.4673
F2 F 0.2155 0.2155 0.2408
```

Below is a geometry-optimized BeVTcOs structure, with properties calculated at the PBE level.

The value obtained for the raw total energy is -140.95 eV per cell. Its total moment is 0.0 μB per cell. The calculation puts the calculated density at 11.40 g/cm3. Its calculated volume is 12.68 A^3/atom.

Geometry as CIF:
```
data_BeVTcOs
_chemical_formula_sum 'Be4 V4 Tc4 Os4'
_space_group_name_H-M_alt 'F -4 3 m'
_space_group_IT_number 216
_space_group_name_Hall 'F -4 2 3'
_cell_length_a 5.8755
_cell_length_b 5.8755
_cell_length_c 5.8755
_cell_angle_alpha 90.00
_cell_angle_beta 90.00
_cell_angle_gamma 90.00
loop_
_atom_site_label
_atom_site_type_symbol
_atom_site_fract_x
_atom_site_fract_y
_atom_site_fract_z
Be1 Be 0.0000 0.0000 0.0000
V1 V 0.0000 0.0000 0.5000
Tc1 Tc 0.2500 0.2500 0.7500
Os1 Os 0.2500 0.2500 0.2500
```